The following is a GGA-PBE calculation of a relaxed BeFe2Re crystal, from OQMD via LeMat-Bulk.

Calculated values
E_tot in eV per formula unit: -32.66
Size of the total moment in Bohr magnetons per cell: 12.668

abc: 5.629 5.629 5.629
angles: 90.00 90.00 90.00
Space group F-43m (No. 216)
Symmetry-distinct sites (fractional):
Be1 0.000 0.000 0.000
Fe1 0.000 0.000 0.500
Fe2 0.250 0.250 0.250
Re1 0.250 0.250 0.750

---

The following is a GGA-PBE calculation of a relaxed Zn crystal, from OQMD via LeMat-Bulk.

Calculated values
Energy of formation from the pure elements in eV/atom: 0.012
Relative energy among the computed polymorphs in kJ/mol of formula units: 1

abc: 2.710 4.651 4.571
angles: 90.00 90.00 90.00
Space group Cmcm (No. 63)
Symmetry-distinct sites (fractional):
Zn1 0.000 0.167 0.250

---

The following is a GGA-PBE calculation of a relaxed Nb2F13 crystal, from OQMD via LeMat-Bulk.

Calculated values
E_tot in eV per formula unit: -77.88
Size of the total moment in Bohr magnetons per cell: 1.002

abc: 4.757 5.767 6.683
angles: 70.66 87.60 80.15
Space group P-1 (No. 2)
Symmetry-distinct sites (fractional):
Nb1 0.192 0.360 0.329
F1 0.000 0.500 0.000
F2 0.051 0.094 0.297
F3 0.099 0.721 0.166
F4 0.204 0.582 0.532
F5 0.365 0.076 0.964
F6 0.379 0.153 0.580
F7 0.472 0.655 0.820